[1]
DFT (PBE) results for HoSiPO after structural relaxation.

Cell: 3.6242 5.9485 6.7488 Å, 90.00 90.00 90.00°
With the nearest neighbours (Å) after each atom.
Sites, in units of the cell vectors:
Ho  0.0000  0.2449  0.0000  2 O 2.21
Ho  0.0000  0.7551  0.5000  2 O 2.21
Si  0.5000  0.1373  0.5911  1 O 1.69
Si  0.5000  0.8627  0.0911  1 O 1.69
P  0.0000  0.2768  0.4176  2 Si 2.31
P  0.0000  0.7232  0.9176  2 Si 2.31
O  0.5000  0.2680  0.8138  1 Si 1.69
O  0.5000  0.7320  0.3138  1 Si 1.69

Results
The value obtained for the energy is -6.60 eV per atom. Its distance to the lowest polymorph of the same formula is 0.0 meV/atom. Its total magnetic moment is 0.002 μB per cell.

[2]
DFT (PBE) results for LuCoSiAg after structural relaxation.

Cell: 4.5233 4.5233 4.5233 Å, 60.00 60.00 60.00°
With the nearest neighbours (Å) after each atom.
Sites, in units of the cell vectors:
Lu  0.0000  0.0000  0.0000  4 Ag 2.77, 4 Si 2.77
Co  0.5000  0.5000  0.5000  4 Si 2.77, 4 Ag 2.77
Si  0.2500  0.2500  0.2500  4 Co 2.77, 4 Lu 2.77
Ag  0.7500  0.7500  0.7500  4 Co 2.77, 4 Lu 2.77

Results
The value obtained for the energy is -5.04 eV per atom. Its distance to the lowest polymorph of the same formula is 57.8 meV/atom. Its total magnetic moment is 0.067 μB per cell.

[3]
DFT (PBE) results for NaFeBMo after structural relaxation.

Cell: 4.0498 4.0498 4.0498 Å, 60.00 60.00 60.00°
With the nearest neighbours (Å) after each atom.
Sites, in units of the cell vectors:
Na  0.0000  0.0000  0.0000  4 Mo 2.48, 4 B 2.48
Fe  0.5000  0.5000  0.5000  4 Mo 2.48, 4 B 2.48
B  0.2500  0.2500  0.2500  4 Fe 2.48, 4 Na 2.48
Mo  0.7500  0.7500  0.7500  4 Fe 2.48, 4 Na 2.48

Results
The value obtained for the energy is -5.90 eV per atom. Its distance to the lowest polymorph of the same formula is 0.0 meV/atom. Its total magnetic moment is 0.005 μB per cell.

[4]
DFT (PBE) results for AsPd9 after structural relaxation.

Cell: 2.8194 2.8194 48.5685 Å, 90.00 90.00 90.00°
With the nearest neighbours (Å) after each atom.
Sites, in units of the cell vectors:
As  0.2500  0.2500  0.1278  4 Pd 2.61, 4 As 2.82
As  0.7500  0.7500  0.8722  4 Pd 2.61, 4 As 2.82
Pd  0.2500  0.2500  0.2041  12 Pd 2.78-2.84
Pd  0.2500  0.2500  0.2837  12 Pd 2.77-2.82
Pd  0.2500  0.2500  0.3626  12 Pd 2.76-2.82
Pd  0.2500  0.2500  0.4412  12 Pd 2.76-2.82
Pd  0.2500  0.2500  0.5196  12 Pd 2.76-2.82
Pd  0.2500  0.2500  0.5980  12 Pd 2.76-2.82
Pd  0.2500  0.2500  0.6768  12 Pd 2.76-2.82
Pd  0.2500  0.2500  0.7559  12 Pd 2.77-2.82
Pd  0.2500  0.2500  0.8375  4 As 2.61, 8 Pd 2.82-2.84
Pd  0.7500  0.7500  0.1625  4 As 2.61, 8 Pd 2.82-2.84
Pd  0.7500  0.7500  0.2441  12 Pd 2.77-2.82
Pd  0.7500  0.7500  0.3232  12 Pd 2.76-2.82
Pd  0.7500  0.7500  0.4020  12 Pd 2.76-2.82
Pd  0.7500  0.7500  0.4804  12 Pd 2.76-2.82
Pd  0.7500  0.7500  0.5588  12 Pd 2.76-2.82
Pd  0.7500  0.7500  0.6374  12 Pd 2.76-2.82
Pd  0.7500  0.7500  0.7163  12 Pd 2.77-2.82
Pd  0.7500  0.7500  0.7959  12 Pd 2.78-2.84

Results
The value obtained for the energy is -5.15 eV per atom. Its distance to the lowest polymorph of the same formula is 34.1 meV/atom.

[5]
DFT (PBE) results for Nb4SbAuN2 after structural relaxation.

Cell: 3.2822 3.2822 13.2743 Å, 90.00 90.00 120.00°
With the nearest neighbours (Å) after each atom.
Sites, in units of the cell vectors:
Nb  0.0000  0.0000  0.1667  3 N 2.18
Nb  0.0000  0.0000  0.8333  3 N 2.18
Nb  0.6667  0.3333  0.3320  3 N 2.20
Nb  0.6667  0.3333  0.6680  3 N 2.20
Sb  0.0000  0.0000  0.5000  6 Nb 2.93
Au  0.6667  0.3333  0.0000  6 Nb 2.91
N  0.3333  0.6667  0.2474  6 Nb 2.18-2.20
N  0.3333  0.6667  0.7526  6 Nb 2.18-2.20

Results
The value obtained for the energy is -8.57 eV per atom. Its total magnetic moment is 0.002 μB per cell.

[6]
DFT (PBE) results for HoTc after structural relaxation.

Cell: 4.3785 4.3785 4.3785 Å, 60.00 60.00 60.00°
With the nearest neighbours (Å) after each atom.
Sites, in units of the cell vectors:
Ho  0.0000  0.0000  0.0000  4 Tc 2.68
Tc  0.7500  0.7500  0.7500  4 Ho 2.68

Results
As for the energy of formation from the pure elements: 1.885 eV/atom. The value obtained for the energy is -5.58 eV per atom. Its total magnetic moment is 1.997 μB per cell.

[7]
DFT (PBE) results for ErLuB4 after structural relaxation.

Cell: 3.2553 3.2553 7.5037 Å, 90.00 90.00 120.00°
With the nearest neighbours (Å) after each atom.
Sites, in units of the cell vectors:
Er  0.0000  0.0000  0.0000  12 B 2.68
Lu  0.0000  0.0000  0.5000  12 B 2.64
B  0.3333  0.6667  0.2538  3 B 1.88
B  0.3333  0.6667  0.7462  3 B 1.88
B  0.6667  0.3333  0.2538  3 B 1.88
B  0.6667  0.3333  0.7462  3 B 1.88

Results
The value obtained for the energy is -6.62 eV per atom. Its total magnetic moment is 0.001 μB per cell.

[8]
DFT (PBE) results for SmGdGe2Pt after structural relaxation.

Cell: 5.7517 5.7517 10.5634 Å, 115.38 115.38 44.94°
With the nearest neighbours (Å) after each atom.
Sites, in units of the cell vectors:
Sm  0.1894  0.1894  0.1139  6 Ge 3.06-3.15, 2 Pt 3.11
Sm  0.8106  0.8106  0.8861  6 Ge 3.06-3.15, 2 Pt 3.11
Gd  0.0110  0.0110  0.3302  4 Pt 3.05-3.31, 7 Ge 3.05-3.32
Gd  0.9890  0.9890  0.6698  4 Pt 3.05-3.31, 7 Ge 3.05-3.32
Ge  0.3551  0.3551  0.4470  3 Pt 2.56-2.80, 1 Ge 2.75
Ge  0.4776  0.4776  0.1143  1 Pt 2.61, 1 Ge 2.67
Ge  0.5224  0.5224  0.8857  1 Pt 2.61, 1 Ge 2.67
Ge  0.6449  0.6449  0.5530  3 Pt 2.56-2.80, 1 Ge 2.75
Pt  0.2721  0.2721  0.6624  4 Ge 2.56-2.80
Pt  0.7279  0.7279  0.3376  4 Ge 2.56-2.80

Results
The value obtained for the energy is -5.94 eV per atom. Its total magnetic moment is 0.298 μB per cell.

[9]
DFT (PBE) results for DyScNi4 after structural relaxation.

Cell: 4.9533 4.9533 4.9533 Å, 60.00 60.00 60.00°
With the nearest neighbours (Å) after each atom.
Sites, in units of the cell vectors:
Dy  0.0000  0.0000  0.0000  12 Ni 2.90, 4 Sc 3.03
Sc  0.7500  0.7500  0.7500  12 Ni 2.90, 4 Dy 3.03
Ni  0.3754  0.3754  0.3754  6 Ni 2.47-2.48
Ni  0.3754  0.3754  0.8739  6 Ni 2.47-2.48
Ni  0.3754  0.8739  0.3754  6 Ni 2.47-2.48
Ni  0.8739  0.3754  0.3754  6 Ni 2.47-2.48

Results
As for the energy of formation from the pure elements: -0.479 eV/atom. The value obtained for the energy is -6.01 eV per atom. Its total magnetic moment is 0.002 μB per cell.

[10]
DFT (PBE) results for Nb3SiTc2 after structural relaxation.

Cell: 3.1840 3.1840 9.4679 Å, 90.00 90.00 90.00°
With the nearest neighbours (Å) after each atom.
Sites, in units of the cell vectors:
Nb  0.0000  0.0000  0.0000  5 Tc 2.76-2.96, 4 Si 2.79
Nb  0.0000  0.0000  0.3327  4 Tc 2.73, 4 Nb 2.86
Nb  0.5000  0.5000  0.5195  4 Tc 2.76, 4 Nb 2.86, 1 Si 2.89
Si  0.5000  0.5000  0.8252  4 Tc 2.60, 5 Nb 2.79-2.89
Tc  0.0000  0.0000  0.6878  4 Si 2.60, 4 Nb 2.76
Tc  0.5000  0.5000  0.1693  8 Nb 2.73-2.76

Results
The value obtained for the energy is -9.67 eV per atom. Its total magnetic moment is 0.008 μB per cell.

[11]
DFT (PBE) results for NdBMo after structural relaxation.

Cell: 4.2546 4.2546 4.2546 Å, 60.00 60.00 60.00°
With the nearest neighbours (Å) after each atom.
Sites, in units of the cell vectors:
Nd  0.0000  0.0000  0.0000  4 B 2.61
B  0.7500  0.7500  0.7500  4 Mo 2.61, 4 Nd 2.61
Mo  0.5000  0.5000  0.5000  4 B 2.61

Results
The value obtained for the energy is -6.83 eV per atom. Its total magnetic moment is 0.676 μB per cell.

[12]
DFT (PBE) results for TbInAu3O4 after structural relaxation.

Cell: 5.3956 5.3956 5.3956 Å, 90.00 90.00 90.00°
With the nearest neighbours (Å) after each atom.
Sites, in units of the cell vectors:
Tb  0.0000  0.0000  0.0000  4 O 2.48, 6 Au 2.70
In  0.5000  0.5000  0.5000  4 O 2.20
Au  0.0000  0.0000  0.5000  4 O 2.39
Au  0.0000  0.5000  0.0000  4 O 2.39
Au  0.5000  0.0000  0.0000  4 O 2.39
O  0.2650  0.2650  0.7350  1 In 2.20, 3 Au 2.39
O  0.2650  0.7350  0.2650  1 In 2.20, 3 Au 2.39
O  0.7350  0.2650  0.2650  1 In 2.20, 3 Au 2.39
O  0.7350  0.7350  0.7350  1 In 2.20, 3 Au 2.39

Results
The value obtained for the energy is -4.61 eV per atom. Its total magnetic moment is 0.002 μB per cell.